[1]
Entry from Alexandria via LeMat-Bulk: a crystal of SiRh2 relaxed with PBEsol (meta-GGA SCAN).

Computed properties:
Formation energy from raw total energies in eV/f.u.: -2.46
E in Ry/atom: -1.96042

a b c (Å): 3.920 5.351 7.394
angles (deg): 90.00 90.00 90.00
Atoms (fractional coordinates):
Si 0.750 0.283 0.395
Rh 0.250 0.527 0.299
Rh 0.750 0.338 0.070
Rh 0.250 0.162 0.570
Rh 0.250 0.027 0.201
Si 0.250 0.717 0.605
Si 0.250 0.217 0.895
Rh 0.750 0.973 0.799
Rh 0.750 0.838 0.430
Si 0.750 0.783 0.105
Rh 0.250 0.662 0.930
Rh 0.750 0.473 0.701



[2]
Entry from Alexandria via LeMat-Bulk: a crystal of Ni4MoRu relaxed with PBEsol (meta-GGA SCAN).

Computed properties:
Calculated formation energy in meV per atom: 8
E in Ry/atom: -1.64582

a b c (Å): 4.603 4.603 4.603
angles (deg): 60.00 60.00 60.00
Atoms (fractional coordinates):
Ni 0.375 0.375 0.375
Ni 0.375 0.874 0.375
Ni 0.874 0.375 0.375
Mo 0.000 0.000 0.000
Ni 0.375 0.375 0.874
Ru 0.750 0.750 0.750



[3]
Entry from Alexandria via LeMat-Bulk: a crystal of Cd2H3ClO3 relaxed with PBEsol (meta-GGA SCAN).

Computed properties:
E in Ry/atom: -0.88690

a b c (Å): 6.744 7.450 9.807
angles (deg): 90.00 90.00 90.00
Atoms (fractional coordinates):
O 0.568 0.948 0.719
Cd 0.000 0.500 0.000
O 0.068 0.948 0.781
H 0.813 0.250 0.511
H 0.187 0.750 0.489
Cd 0.322 0.750 0.768
Cd 0.500 0.000 0.500
Cl 0.184 0.250 0.545
H 0.090 0.051 0.719
H 0.410 0.949 0.219
H 0.090 0.449 0.719
O 0.068 0.552 0.781
Cd 0.500 0.500 0.500
Cl 0.684 0.250 0.955
Cd 0.822 0.750 0.732
Cd 0.178 0.250 0.268
Cd 0.000 0.000 0.000
H 0.410 0.551 0.219
Cl 0.816 0.750 0.455
H 0.910 0.551 0.281
H 0.590 0.051 0.781
O 0.679 0.250 0.471
O 0.432 0.052 0.281
O 0.321 0.750 0.529
O 0.932 0.448 0.219
Cd 0.678 0.250 0.232
H 0.590 0.449 0.781
H 0.687 0.750 0.011
O 0.821 0.750 0.971
Cl 0.316 0.750 0.045
H 0.313 0.250 0.989
H 0.910 0.949 0.281
O 0.179 0.250 0.029
O 0.932 0.052 0.219
O 0.568 0.552 0.719
O 0.432 0.448 0.281